First-principles (SCAN) data for a crystal of CaSb2Cl relaxed with PBEsol, as listed in the Alexandria database.

Calculated values
Energy relative to the lowest polymorph listed for this composition   312 meV per atom
Formation energy without anion corrections   -666 meV/atom

Lattice parameters (Å, degrees): 7.469 7.469 7.469 90.00 90.00 90.00
Space group F-43m (No. 216)
Unique sites:
Ca (0.000, 0.000, 0.000) [4 per cell]
Sb (0.000, 0.000, 0.500) [4 per cell]
Sb (0.250, 0.250, 0.250) [4 per cell]
Cl (0.250, 0.250, 0.750) [4 per cell]

First-principles (SCAN) data for a crystal of NaBF4 relaxed with PBEsol, as listed in the Alexandria database.

Calculated values
Formation energy without anion corrections   -3119 meV/atom

Lattice parameters (Å, degrees): 6.812 6.158 6.840 90.00 90.00 90.00
Space group Cmcm (No. 63)
Unique sites:
Na (0.000, 0.152, 0.250) [4 per cell]
B (0.000, 0.345, 0.750) [4 per cell]
F (0.000, 0.211, 0.583) [8 per cell]
F (0.168, 0.479, 0.750) [8 per cell]

First-principles (SCAN) data for a crystal of KScIn2 relaxed with PBEsol, as listed in the Alexandria database.

Calculated values
Energy of formation   -343 meV/atom
Energy relative to the lowest polymorph listed for this composition   0 meV per atom

Lattice parameters (Å, degrees): 3.587 3.587 8.418 90.00 90.00 90.00
Space group P4/mmm (No. 123)
Unique sites:
K (0.000, 0.000, 0.000) [1 per cell]
Sc (0.000, 0.000, 0.500) [1 per cell]
In (0.500, 0.500, 0.304) [2 per cell]

First-principles (SCAN) data for a crystal of Ba2SeBr relaxed with PBEsol, as listed in the Alexandria database.

Calculated values
Energy relative to the lowest polymorph listed for this composition   291 meV per atom
Formation energy without anion corrections   -1776 meV/atom

Lattice parameters (Å, degrees): 7.354 7.354 14.554 90.00 90.00 90.00
Space group I-42d (No. 122)
Unique sites:
Ba (0.231, 0.250, 0.125) [8 per cell]
Se (0.000, 0.000, 0.000) [4 per cell]
Br (0.000, 0.000, 0.500) [4 per cell]

First-principles (SCAN) data for a crystal of MnMoRh2 relaxed with PBEsol, as listed in the Alexandria database.

Calculated values
Energy of formation   -265 meV/atom
Energy relative to the lowest polymorph listed for this composition   15 meV per atom

Lattice parameters (Å, degrees): 3.773 3.773 7.479 90.00 90.00 90.00
Space group I4/mmm (No. 139)
Unique sites:
Mn (0.000, 0.000, 0.000) [2 per cell]
Mo (0.000, 0.000, 0.500) [2 per cell]
Rh (0.000, 0.500, 0.250) [4 per cell]

First-principles (SCAN) data for a crystal of La2CuNi2 relaxed with PBEsol, as listed in the Alexandria database.

Calculated values
Energy of formation   -182 meV/atom

Lattice parameters (Å, degrees): 7.112 7.112 3.855 90.00 90.00 90.00
Space group P4/mbm (No. 127)
Unique sites:
La (0.180, 0.320, 0.000) [4 per cell]
Cu (0.000, 0.000, 0.500) [2 per cell]
Ni (0.123, 0.623, 0.500) [4 per cell]

First-principles (SCAN) data for a crystal of TmSbMo2O9 relaxed with PBEsol, as listed in the Alexandria database.

Calculated values
Formation energy without anion corrections   -2405 meV/atom

Lattice parameters (Å, degrees): 12.774 13.920 10.591 90.00 124.17 90.00
Space group C2/c (No. 15)
Unique sites:
Tm (0.000, 0.126, 0.250) [4 per cell]
Tm (0.000, 0.330, 0.750) [4 per cell]
Sb (0.137, 0.480, 0.535) [8 per cell]
Mo (0.154, 0.107, 0.028) [8 per cell]
Mo (0.246, 0.190, 0.694) [8 per cell]
O (0.019, 0.441, 0.603) [8 per cell]
O (0.082, 0.013, 0.899) [8 per cell]
O (0.082, 0.215, 0.931) [8 per cell]
O (0.115, 0.262, 0.270) [8 per cell]
O (0.133, 0.088, 0.177) [8 per cell]
O (0.139, 0.167, 0.500) [8 per cell]
O (0.178, 0.273, 0.754) [8 per cell]
O (0.186, 0.409, 0.921) [8 per cell]
O (0.218, 0.423, 0.204) [8 per cell]

First-principles (SCAN) data for a crystal of SrCa3 relaxed with PBEsol, as listed in the Alexandria database.

Calculated values
Energy of formation   17 meV/atom
Energy relative to the lowest polymorph listed for this composition   6 meV per atom

Lattice parameters (Å, degrees): 13.046 3.946 6.801 90.00 100.29 90.00
Space group C2/m (No. 12)
Unique sites:
Sr (0.000, 0.000, 0.000) [2 per cell]
Ca (0.000, 0.500, 0.500) [2 per cell]
Ca (0.247, 0.000, 0.744) [4 per cell]

First-principles (SCAN) data for a crystal of Ta2AlW relaxed with PBEsol, as listed in the Alexandria database.

Calculated values
Energy of formation   -102 meV/atom

Lattice parameters (Å, degrees): 2.757 4.544 5.361 90.00 100.22 90.00
Space group P2/m (No. 10)
Unique sites:
Ta (0.241, 0.000, 0.256) [2 per cell]
Al (0.500, 0.500, 0.000) [1 per cell]
W (0.000, 0.500, 0.500) [1 per cell]

First-principles (SCAN) data for a crystal of SrTcAs relaxed with PBEsol, as listed in the Alexandria database.

Calculated values
Energy of formation   1174 meV/atom

Lattice parameters (Å, degrees): 6.852 6.852 6.852 90.00 90.00 90.00
Space group F-43m (No. 216)
Unique sites:
Sr (0.000, 0.000, 0.000) [4 per cell]
Tc (0.250, 0.250, 0.750) [4 per cell]
As (0.250, 0.250, 0.250) [4 per cell]

First-principles (SCAN) data for a crystal of Li2ZnNi relaxed with PBEsol, as listed in the Alexandria database.

Calculated values
Energy of formation   -48 meV/atom

Lattice parameters (Å, degrees): 2.523 3.972 4.931 90.00 90.00 90.00
Space group Pmmm (No. 47)
Unique sites:
Li (0.000, 0.000, 0.237) [2 per cell]
Zn (0.500, 0.500, 0.500) [1 per cell]
Ni (0.500, 0.500, 0.000) [1 per cell]

First-principles (SCAN) data for a crystal of CaTiMoP3O12 relaxed with PBEsol, as listed in the Alexandria database.

Calculated values
Formation energy without anion corrections   -2707 meV/atom

Lattice parameters (Å, degrees): 8.6700 8.6700 21.8603 90.00 90.00 120.00
Space group R3c (No. 161, hexagonal axes)
Unique sites:
Ca (0.0000, 0.0000, 0.0000) [6 per cell]
Ti (0.0000, 0.0000, 0.3534) [6 per cell]
Mo (0.0000, 0.0000, 0.1434) [6 per cell]
P (0.0459, 0.3742, 0.4165) [18 per cell]
O (0.0071, 0.1986, 0.6914) [18 per cell]
O (0.0291, 0.1878, 0.4171) [18 per cell]
O (0.1501, 0.4725, 0.4745) [18 per cell]
O (0.1599, 0.4774, 0.7489) [18 per cell]

First-principles (SCAN) data for a crystal of Mn2CoAu relaxed with PBEsol, as listed in the Alexandria database.

Calculated values
Energy of formation   -354 meV/atom
Energy relative to the lowest polymorph listed for this composition   20 meV per atom

Lattice parameters (Å, degrees): 2.911 2.911 6.360 90.00 90.00 90.00
Space group P4/mmm (No. 123)
Unique sites:
Mn (0.000, 0.000, 0.217) [2 per cell]
Co (0.500, 0.500, 0.000) [1 per cell]
Au (0.500, 0.500, 0.500) [1 per cell]

First-principles (SCAN) data for a crystal of K3BN relaxed with PBEsol, as listed in the Alexandria database.

Calculated values
Formation energy without anion corrections   1115 meV/atom

Lattice parameters (Å, degrees): 5.290 5.290 5.290 90.00 90.00 90.00
Space group Pm-3m (No. 221)
Unique sites:
K (0.000, 0.000, 0.500) [3 per cell]
B (0.500, 0.500, 0.500) [1 per cell]
N (0.000, 0.000, 0.000) [1 per cell]

First-principles (SCAN) data for a crystal of Rb2NiHgH relaxed with PBEsol, as listed in the Alexandria database.

Calculated values
Total DFT energy (no corrections)   -128.201 eV for the cell shown

Lattice parameters (Å, degrees): 6.394 6.394 3.214 90.00 90.00 90.00
Space group P4/mmm (No. 123)
Unique sites:
Rb (0.000, 0.500, 0.000) [2 per cell]
Ni (0.000, 0.000, 0.000) [1 per cell]
Hg (0.500, 0.500, 0.500) [1 per cell]
H (0.000, 0.000, 0.500) [1 per cell]

First-principles (SCAN) data for a crystal of Y2ZnCu relaxed with PBEsol, as listed in the Alexandria database.

Calculated values
Energy of formation   -372 meV/atom

Lattice parameters (Å, degrees): 4.898 4.898 3.484 90.00 90.00 90.00
Space group P4/mmm (No. 123)
Unique sites:
Y (0.000, 0.500, 0.000) [2 per cell]
Zn (0.000, 0.000, 0.500) [1 per cell]
Cu (0.500, 0.500, 0.500) [1 per cell]

First-principles (SCAN) data for a crystal of HgAuO3 relaxed with PBEsol, as listed in the Alexandria database.

Calculated values
Formation energy without anion corrections   271 meV/atom

Lattice parameters (Å, degrees): 4.007 4.007 4.007 90.00 90.00 90.00
Space group Pm-3m (No. 221)
Unique sites:
Hg (0.000, 0.000, 0.000) [1 per cell]
Au (0.500, 0.500, 0.500) [1 per cell]
O (0.000, 0.500, 0.500) [3 per cell]

First-principles (SCAN) data for a crystal of LiOs4 relaxed with PBEsol, as listed in the Alexandria database.

Calculated values
Energy of formation   275 meV/atom

Lattice parameters (Å, degrees): 5.978 5.978 3.781 90.00 90.00 90.00
Space group I4/m (No. 87)
Unique sites:
Li (0.000, 0.000, 0.000) [2 per cell]
Os (0.090, 0.704, 0.500) [8 per cell]

First-principles (SCAN) data for a crystal of RhIO3 relaxed with PBEsol, as listed in the Alexandria database.

Calculated values
Formation energy without anion corrections   492 meV/atom

Lattice parameters (Å, degrees): 4.089 4.089 4.089 90.00 90.00 90.00
Space group Pm-3m (No. 221)
Unique sites:
Rh (0.000, 0.000, 0.000) [1 per cell]
I (0.500, 0.500, 0.500) [1 per cell]
O (0.000, 0.500, 0.500) [3 per cell]

First-principles (SCAN) data for a crystal of TaBeCo2 relaxed with PBEsol, as listed in the Alexandria database.

Calculated values
Energy of formation   -26 meV/atom

Lattice parameters (Å, degrees): 2.695 2.695 6.273 90.00 90.00 90.00
Space group P4mm (No. 99)
Unique sites:
Ta (0.000, 0.000, 0.000) [1 per cell]
Be (0.500, 0.500, 0.283) [1 per cell]
Co (0.000, 0.000, 0.466) [1 per cell]
Co (0.500, 0.500, 0.689) [1 per cell]